The following is a GGA-PBE calculation of an optimized crystal structure of YPuTlBr6, from the Alexandria database.

E_form (uncorrected) in eV/atom: -1.509
Spin magnetization in Bohr magnetons per cell: 12.00

Unit cell a=7.486 b=7.486 c=14.601 alpha=90.00 beta=90.00 gamma=120.00
Sites, in units of the cell vectors:
Y 0.333 0.667 0.250
Y 0.667 0.333 0.750
Pu 0.333 0.667 0.750
Pu 0.667 0.333 0.250
Tl 0.000 0.000 0.000
Tl 0.000 0.000 0.500
Br 0.015 0.373 0.136
Br 0.015 0.643 0.364
Br 0.357 0.373 0.364
Br 0.357 0.985 0.136
Br 0.373 0.015 0.636
Br 0.373 0.357 0.864
Br 0.627 0.643 0.136
Br 0.627 0.985 0.364
Br 0.643 0.015 0.864
Br 0.643 0.627 0.636
Br 0.985 0.357 0.636
Br 0.985 0.627 0.864

***

The following is a GGA-PBE calculation of an optimized crystal structure of TmPuBr5, from the Alexandria database.

E_form (uncorrected) in eV/atom: -1.652
Spin magnetization in Bohr magnetons per cell: 12.00

Unit cell a=8.526 b=4.035 c=13.680 alpha=90.00 beta=94.82 gamma=90.00
Sites, in units of the cell vectors:
Tm 0.084 0.250 0.154
Tm 0.916 0.750 0.846
Pu 0.408 0.750 0.358
Pu 0.592 0.250 0.642
Br 0.123 0.250 0.798
Br 0.144 0.250 0.362
Br 0.175 0.750 0.021
Br 0.348 0.750 0.572
Br 0.419 0.250 0.190
Br 0.581 0.750 0.810
Br 0.652 0.250 0.428
Br 0.825 0.250 0.979
Br 0.856 0.750 0.638
Br 0.877 0.750 0.202

***

The following is a GGA-PBE calculation of an optimized crystal structure of TmPuBr2, from the Alexandria database.

E_form (uncorrected) in eV/atom: -0.842
Spin magnetization in Bohr magnetons per cell: 6.48

Unit cell a=10.234 b=10.234 c=10.234 alpha=20.85 beta=20.85 gamma=20.85
Sites, in units of the cell vectors:
Tm 0.000 0.000 0.000
Pu 0.500 0.500 0.500
Br 0.094 0.094 0.094
Br 0.906 0.906 0.906

***

Final energy, respectively: -5.20; -5.53; -6.38 eV per atom.